Compound: Cs2ReCl4O2
Source: Alexandria
Functional: PBE
Structure: optimized geometry

Structure (CIF):
```
data_Cs2ReCl4O2
_space_group_name_H-M_alt 'C 1 2/m 1'
_space_group_IT_number 12
_space_group_name_Hall '-C 2y'
_cell_length_a 12.057
_cell_length_b 7.297
_cell_length_c 6.145
_cell_angle_alpha 90.00
_cell_angle_beta 104.08
_cell_angle_gamma 90.00
loop_
_atom_site_label
_atom_site_fract_x
_atom_site_fract_y
_atom_site_fract_z
Cs1 0.178 0.000 0.322
Re1 0.000 0.500 0.000
Cl1 0.085 0.265 0.817
O1 0.124 0.500 0.229
```

## Properties
magnetization	1.00	μB/f.u.
ΔE_f (raw)	-1455	meV/atom
final energy	-4.95	eV per atom